(1)
Here is a relaxed structure of MnPOs2 from Alexandria. Energies are from PBE.

Results
ΔH_f (0 K): 14.6 kJ/mol of atoms
space-group type: Pmm2 (25)

a = 2.8358 Å, b = 3.6793 Å, c = 5.1235 Å
α = 90.00°, β = 90.00°, γ = 90.00°
Closest atoms and distances in Å follow each position.
Sites, in units of the cell vectors:
Mn 0.0000 0.0000 0.0000  6 Os 2.46-2.67
P 0.5000 0.5000 0.7088  6 Os 2.42-2.71
Os 0.0000 0.0000 0.5202  2 Mn 2.46-2.67, 4 P 2.52
Os 0.5000 0.5000 0.1805  2 P 2.42-2.71, 4 Mn 2.50

***

(2)
Here is a relaxed structure of NaH3N from Alexandria. Energies are from PBE.

Results
E: -4.188 eV/atom
space-group type: P2_1 (4)

a = 6.0710 Å, b = 4.0827 Å, c = 6.4206 Å
α = 90.00°, β = 90.33°, γ = 90.00°
Closest atoms and distances in Å follow each position.
Sites, in units of the cell vectors:
Na 0.2479 0.0000 0.1270  1 N 2.55
Na 0.7521 0.5000 0.8730  1 N 2.55
H 0.1244 0.8714 0.5824  1 N 1.03
H 0.2475 0.2211 0.6090  1 N 1.03
H 0.3912 0.8901 0.5837  1 N 1.03
H 0.6088 0.3901 0.4163  1 N 1.03
H 0.7525 0.7211 0.3910  1 N 1.03
H 0.8756 0.3714 0.4176  1 N 1.03
N 0.2538 0.0059 0.5243  3 H 1.03
N 0.7462 0.5059 0.4757  3 H 1.03

***

(3)
Here is a relaxed structure of ScAgTe2I from Alexandria. Energies are from PBE.

Results
formation energy from raw total energies: -0.1834 eV/atom
space-group type: P4/mmm (123)

a = 5.5738 Å, b = 5.5738 Å, c = 5.7358 Å
α = 90.00°, β = 90.00°, γ = 90.00°
Closest atoms and distances in Å follow each position.
Sites, in units of the cell vectors:
Sc 0.0000 0.0000 0.0000  4 Te 2.79, 2 I 2.87
Ag 0.5000 0.5000 0.5000  4 I 3.94, 8 Te 4.00
Te 0.0000 0.5000 0.0000  2 Sc 2.79
Te 0.5000 0.0000 0.0000  2 Sc 2.79
I 0.0000 0.0000 0.5000  2 Sc 2.87

***

(4)
Here is a relaxed structure of PaAlHg2 from Alexandria. Energies are from PBE.

Results
ΔH_f (0 K): 29.7 kJ/mol of atoms
space-group type: R-3m (166)

a = 11.2904 Å, b = 11.2904 Å, c = 11.2904 Å
α = 16.07°, β = 16.07°, γ = 16.07°
Closest atoms and distances in Å follow each position.
Sites, in units of the cell vectors:
Pa 0.0000 0.0000 0.0000  6 Pa 3.16, 2 Hg 3.17
Al 0.5000 0.5000 0.5000  6 Hg 3.01, 6 Al 3.16
Hg 0.0948 0.0948 0.0948  3 Al 3.01, 6 Hg 3.16, 1 Pa 3.17
Hg 0.9052 0.9052 0.9052  3 Al 3.01, 6 Hg 3.16, 1 Pa 3.17

***

(5)
Here is a relaxed structure of ScNiOs2 from Alexandria. Energies are from PBE.

Results
ΔH_f (0 K): -1.3 kJ/mol of atoms
space-group type: C2/m (12)

a = 5.0707 Å, b = 5.0707 Å, c = 4.4790 Å
α = 105.09°, β = 105.09°, γ = 32.37°
Closest atoms and distances in Å follow each position.
Sites, in units of the cell vectors:
Sc 0.0000 0.0000 0.0000  4 Ni 2.65, 2 Os 2.75, 2 Sc 2.83
Ni 0.5000 0.5000 0.5000  4 Os 2.56, 4 Sc 2.65, 2 Ni 2.83
Os 0.2228 0.2228 0.7304  2 Ni 2.56, 6 Os 2.67-2.83, 1 Sc 2.75
Os 0.7772 0.7772 0.2696  2 Ni 2.56, 6 Os 2.67-2.83, 1 Sc 2.75

***

(6)
Here is a relaxed structure of CaCuTc2 from Alexandria. Energies are from PBE.

Results
ΔH_f (0 K): 50.9 kJ/mol of atoms
space-group type: P4/mmm (123)

a = 2.6633 Å, b = 2.6633 Å, c = 9.0336 Å
α = 90.00°, β = 90.00°, γ = 90.00°
Closest atoms and distances in Å follow each position.
Sites, in units of the cell vectors:
Ca 0.0000 0.0000 0.0000  4 Ca 2.66
Cu 0.0000 0.0000 0.5000  4 Cu 2.66, 8 Tc 2.72
Tc 0.5000 0.5000 0.2826  4 Tc 2.66, 4 Cu 2.72
Tc 0.5000 0.5000 0.7174  4 Tc 2.66, 4 Cu 2.72

***

(7)
Here is a relaxed structure of GePtO2 from Alexandria. Energies are from PBE.

Results
formation energy from raw total energies: -0.8279 eV/atom
space-group type: Cm (8)

a = 4.6659 Å, b = 4.6659 Å, c = 2.8023 Å
α = 107.31°, β = 107.31°, γ = 88.02°
Closest atoms and distances in Å follow each position.
Sites, in units of the cell vectors:
Ge 0.0000 0.0000 0.0000  4 O 1.93
Pt 0.6055 0.6055 0.6052  2 O 2.04
O 0.2751 0.9037 0.5887  2 Ge 1.93, 1 Pt 2.04
O 0.9037 0.2751 0.5887  2 Ge 1.93, 1 Pt 2.04

***

(8)
Here is a relaxed structure of SbTe2Pb from Alexandria. Energies are from PBE.

Results
formation energy from raw total energies: 0.0011 eV/atom
space-group type: Immm (71)

a = 6.6837 Å, b = 6.6837 Å, c = 6.6837 Å
α = 141.01°, β = 134.53°, γ = 61.41°
Closest atoms and distances in Å follow each position.
Sites, in units of the cell vectors:
Sb 0.0000 0.0000 0.0000  4 Te 3.08, 4 Pb 3.41
Te 0.1854 0.6854 0.5000  2 Sb 3.08, 2 Pb 3.35
Te 0.8146 0.3146 0.5000  2 Sb 3.08, 2 Pb 3.35
Pb 0.5000 0.5000 0.0000  4 Te 3.35, 4 Sb 3.41

***

(9)
Here is a relaxed structure of NaCaNd from Alexandria. Energies are from PBE.

Results
ΔH_f (0 K): 3.3 kJ/mol of atoms
space-group type: P4/nmm (129)

a = 3.7157 Å, b = 3.7157 Å, c = 16.4489 Å
α = 90.00°, β = 90.00°, γ = 90.00°
Closest atoms and distances in Å follow each position.
Sites, in units of the cell vectors:
Na 0.2500 0.2500 0.0815  8 Na 3.72-3.75, 4 Ca 3.88
Na 0.7500 0.7500 0.9185  8 Na 3.72-3.75, 4 Ca 3.88
Ca 0.2500 0.2500 0.7451  4 Ca 3.72, 4 Nd 3.84, 4 Na 3.88
Ca 0.7500 0.7500 0.2549  4 Ca 3.72, 4 Nd 3.84, 4 Na 3.88
Nd 0.2500 0.2500 0.4251  8 Nd 3.60-3.72, 4 Ca 3.84
Nd 0.7500 0.7500 0.5749  8 Nd 3.60-3.72, 4 Ca 3.84

***

(10)
Here is a relaxed structure of La3TbEr4 from Alexandria. Energies are from PBE.

Results
ΔH_f (0 K): 13.7 kJ/mol of atoms
space-group type: Immm (71)

a = 8.9855 Å, b = 8.9855 Å, c = 8.9855 Å
α = 157.60°, β = 98.09°, γ = 86.26°
Closest atoms and distances in Å follow each position.
Sites, in units of the cell vectors:
La 0.0000 0.0000 0.0000  6 La 3.49-3.78, 8 Er 3.89
La 0.2561 0.7561 0.5000  6 Er 3.40-3.67, 4 La 3.49-3.78, 2 Tb 3.64
La 0.7439 0.2439 0.5000  6 Er 3.40-3.67, 4 La 3.49-3.78, 2 Tb 3.64
Tb 0.5000 0.5000 0.0000  4 Er 3.39, 2 Tb 3.49, 4 La 3.64
Er 0.1201 0.3656 0.7545  1 Tb 3.39, 3 La 3.40-3.67, 5 Er 3.49-3.53
Er 0.3890 0.6344 0.7545  1 Tb 3.39, 3 La 3.40-3.67, 5 Er 3.49-3.53
Er 0.6110 0.3656 0.2455  1 Tb 3.39, 3 La 3.40-3.67, 5 Er 3.49-3.53
Er 0.8799 0.6344 0.2455  1 Tb 3.39, 3 La 3.40-3.67, 5 Er 3.49-3.53

***

(11)
Here is a relaxed structure of La6CoIr2Cl3 from Alexandria. Energies are from PBE.

Results
formation energy from raw total energies: -1.2018 eV/atom
space-group type: C2/m (12)

a = 7.1704 Å, b = 7.1704 Å, c = 7.9969 Å
α = 98.56°, β = 98.56°, γ = 120.02°
Closest atoms and distances in Å follow each position.
Sites, in units of the cell vectors:
La 0.0674 0.3931 0.2027  1 Co 2.80, 2 Ir 2.87
La 0.2582 0.2582 0.7976  1 Co 2.80, 2 Ir 2.87
La 0.3931 0.0674 0.2027  1 Co 2.80, 2 Ir 2.87
La 0.6069 0.9326 0.7973  1 Co 2.80, 2 Ir 2.87
La 0.7418 0.7418 0.2024  1 Co 2.80, 2 Ir 2.87
La 0.9326 0.6069 0.7973  1 Co 2.80, 2 Ir 2.87
Co 0.0000 0.0000 0.0000  6 La 2.80
Ir 0.3331 0.6669 0.0000  6 La 2.87
Ir 0.6669 0.3331 0.0000  6 La 2.87
Cl 0.1637 0.8363 0.5000  6 La 3.26-3.36
Cl 0.5000 0.5000 0.5000  6 La 3.28-3.34
Cl 0.8363 0.1637 0.5000  6 La 3.26-3.36

***

(12)
Here is a relaxed structure of CrCo2PdN from Alexandria. Energies are from PBE.

Results
formation energy from raw total energies: -0.0349 eV/atom
space-group type: P4/mmm (123)

a = 3.8163 Å, b = 3.8163 Å, c = 3.8006 Å
α = 90.00°, β = 90.00°, γ = 90.00°
Closest atoms and distances in Å follow each position.
Sites, in units of the cell vectors:
Cr 0.0000 0.0000 0.0000  2 N 1.90
Co 0.0000 0.5000 0.5000  2 N 1.91
Co 0.5000 0.0000 0.5000  2 N 1.91
Pd 0.5000 0.5000 0.0000  8 Co 2.69, 4 Cr 2.70
N 0.0000 0.0000 0.5000  2 Cr 1.90, 4 Co 1.91

***

(13)
Here is a relaxed structure of Tb9ErTm2 from Alexandria. Energies are from PBE.

Results
ΔH_f (0 K): 4.8 kJ/mol of atoms
space-group type: P6/mmm (191)

a = 11.1747 Å, b = 11.1747 Å, c = 3.4772 Å
α = 90.00°, β = 90.00°, γ = 120.00°
Closest atoms and distances in Å follow each position.
Sites, in units of the cell vectors:
Tb 0.0000 0.5000 0.0000  2 Tm 3.23, 10 Tb 3.48-3.59
Tb 0.1758 0.3517 0.5000  8 Tb 3.40-3.59, 2 Tm 3.51
Tb 0.1758 0.8242 0.5000  8 Tb 3.40-3.59, 2 Tm 3.51
Tb 0.3517 0.1758 0.5000  8 Tb 3.40-3.59, 2 Tm 3.51
Tb 0.5000 0.0000 0.0000  2 Tm 3.23, 10 Tb 3.48-3.59
Tb 0.5000 0.5000 0.0000  2 Tm 3.23, 10 Tb 3.48-3.59
Tb 0.6483 0.8242 0.5000  8 Tb 3.40-3.59, 2 Tm 3.51
Tb 0.8242 0.1758 0.5000  8 Tb 3.40-3.59, 2 Tm 3.51
Tb 0.8242 0.6483 0.5000  8 Tb 3.40-3.59, 2 Tm 3.51
Er 0.0000 0.0000 0.0000  2 Er 3.48, 12 Tb 3.82
Tm 0.3333 0.6667 0.0000  9 Tb 3.23-3.51, 2 Tm 3.48
Tm 0.6667 0.3333 0.0000  9 Tb 3.23-3.51, 2 Tm 3.48

***

(14)
Here is a relaxed structure of CeErCuPt from Alexandria. Energies are from PBE.

Results
ΔH_f (0 K): -62.4 kJ/mol of atoms
space-group type: F-43m (216)

a = 4.9661 Å, b = 4.9661 Å, c = 4.9661 Å
α = 60.00°, β = 60.00°, γ = 60.00°
Closest atoms and distances in Å follow each position.
Sites, in units of the cell vectors:
Ce 0.0000 0.0000 0.0000  4 Cu 3.04, 4 Pt 3.04
Er 0.5000 0.5000 0.5000  4 Cu 3.04, 4 Pt 3.04
Cu 0.2500 0.2500 0.2500  4 Ce 3.04, 4 Er 3.04
Pt 0.7500 0.7500 0.7500  4 Ce 3.04, 4 Er 3.04